1.
Entry from the Alexandria database: an optimized crystal structure of NiPCS2 (PBE-GGA).

abc: 4.4884 4.4884 4.1912
angles: 90.00 90.00 90.00
With the nearest neighbours (Å) after each atom.
Space group P4/mmm (No. 123)
Inequivalent atoms, fractional coordinates:
Ni 0.0000 0.0000 0.0000 (multiplicity 1)  2 P 2.10, 4 S 2.24
P 0.0000 0.0000 0.5000 (multiplicity 1)  2 Ni 2.10
C 0.5000 0.5000 0.5000 (multiplicity 1)  8 S 3.07, 4 P 3.17
S 0.0000 0.5000 0.0000 (multiplicity 2)  2 Ni 2.24

D(E_F)	0.982	states/eV per atom
formation energy from raw total energies	41.37	kcal/mol of atoms


2.
Entry from the Alexandria database: an optimized crystal structure of NiSnPC (PBE-GGA).

abc: 10.1162 2.9885 4.3214
angles: 90.00 101.03 90.00
With the nearest neighbours (Å) after each atom.
Space group Cm (No. 8)
Inequivalent atoms, fractional coordinates:
Ni 0.0000 0.0000 0.0000 (multiplicity 2)  1 C 1.94
Sn 0.4906 0.0000 0.4991 (multiplicity 2)  4 Ni 2.62-2.64
P 0.2191 0.0000 0.0544 (multiplicity 2)  2 C 1.78
C 0.3089 0.5000 0.0097 (multiplicity 2)  2 P 1.78, 1 Ni 1.94

D(E_F)	0.303	states/eV per atom
ΔE_f	0.293	eV/atom


3.
Entry from the Alexandria database: an optimized crystal structure of NiSnPC (PBE-GGA).

abc: 10.7205 2.9088 4.3412
angles: 90.00 111.43 90.00
With the nearest neighbours (Å) after each atom.
Space group Cm (No. 8)
Inequivalent atoms, fractional coordinates:
Ni 0.0000 0.0000 0.0000 (multiplicity 2)  2 C 2.04, 1 P 2.25
Sn 0.3134 0.0000 0.1426 (multiplicity 2)  1 C 2.45, 2 Ni 2.72
P 0.0809 0.0000 0.5558 (multiplicity 2)  2 C 1.84
C 0.0031 0.5000 0.6734 (multiplicity 2)  2 P 1.84, 2 Ni 2.04

D(E_F)	0.349	states/eV per atom
ΔE_f	0.436	eV/atom


4.
Entry from the Alexandria database: an optimized crystal structure of NiSnPC (PBE-GGA).

abc: 9.2589 2.9651 6.5678
angles: 90.00 133.59 90.00
With the nearest neighbours (Å) after each atom.
Space group Cm (No. 8)
Inequivalent atoms, fractional coordinates:
Ni 0.0000 0.0000 0.0000 (multiplicity 2)  1 C 2.01, 1 P 2.15
Sn 0.2896 0.0000 0.0225 (multiplicity 2)  1 C 2.31, 3 Ni 2.53-2.58
P 0.3673 0.5000 0.5738 (multiplicity 2)  2 C 1.78
C 0.2862 0.0000 0.3714 (multiplicity 2)  2 P 1.78

D(E_F)	0.572	states/eV per atom
ΔE_f	0.282	eV/atom


5.
Entry from the Alexandria database: an optimized crystal structure of NiSnPC (PBE-GGA).

abc: 3.7029 3.7074 5.1196
angles: 93.08 100.48 103.78
With the nearest neighbours (Å) after each atom.
Space group P1 (No. 1)
Inequivalent atoms, fractional coordinates:
Ni 0.0000 0.0000 0.0000 (multiplicity 1)  2 C 1.88-2.01
Sn 0.2576 0.5285 0.6912 (multiplicity 1)  2 C 2.45-2.54, 2 Ni 2.69-2.74
P 0.5995 0.2108 0.2261 (multiplicity 1)  1 C 1.74
C 0.8456 0.4835 0.0179 (multiplicity 1)  1 P 1.74, 1 Ni 1.88

D(E_F)	0.374	states/eV per atom
ΔE_f	0.440	eV/atom


6.
Entry from the Alexandria database: an optimized crystal structure of NiSnPC (PBE-GGA).

abc: 2.9514 3.3503 6.0764
angles: 90.00 90.00 90.00
With the nearest neighbours (Å) after each atom.
Space group Pmm2 (No. 25)
Inequivalent atoms, fractional coordinates:
Ni 0.0000 0.0000 0.0000 (multiplicity 1)  2 P 2.19
Sn 0.5000 0.0000 0.3459 (multiplicity 1)  2 C 2.24
P 0.0000 0.5000 0.7668 (multiplicity 1)  2 C 1.82
C 0.5000 0.5000 0.5905 (multiplicity 1)  2 P 1.82

D(E_F)	0.265	states/eV per atom
ΔE_f	0.178	eV/atom


7.
Entry from the Alexandria database: an optimized crystal structure of NiSnPC (PBE-GGA).

abc: 7.2464 2.9647 5.9353
angles: 90.00 108.92 90.00
With the nearest neighbours (Å) after each atom.
Space group Cm (No. 8)
Inequivalent atoms, fractional coordinates:
Ni 0.0000 0.0000 0.0000 (multiplicity 2)  1 C 2.09, 1 P 2.24
Sn 0.2248 0.0000 0.6997 (multiplicity 2)  1 C 2.26
P 0.2722 0.5000 0.1809 (multiplicity 2)  2 C 1.77
C 0.2310 0.0000 0.3216 (multiplicity 2)  2 P 1.77

D(E_F)	0.328	states/eV per atom
ΔE_f	0.265	eV/atom


8.
Entry from the Alexandria database: an optimized crystal structure of NiSnPC (PBE-GGA).

abc: 3.8002 4.1101 4.3618
angles: 90.10 107.92 90.37
With the nearest neighbours (Å) after each atom.
Space group P1 (No. 1)
Inequivalent atoms, fractional coordinates:
Ni 0.0000 0.0000 0.0000 (multiplicity 1)  2 C 1.94-2.06
Sn 0.5624 0.5591 0.2051 (multiplicity 1)  2 C 2.40-2.55
P 0.1084 0.1035 0.5271 (multiplicity 1)  1 C 1.72
C 0.4735 0.0803 0.8752 (multiplicity 1)  1 P 1.72

D(E_F)	0.382	states/eV per atom
ΔE_f	0.444	eV/atom